Entry 1:
# Cd2CuIr

A relaxed structure of Cd2CuIr (GGA-PBEsol, Alexandria).

Unit cell a=6.3466 b=6.3466 c=6.3466 alpha=90.00 beta=90.00 gamma=90.00
Closest atoms and distances in Å follow each position.
Space group Fm-3m (No. 225)
Asymmetric unit:
Cd 0.2500 0.2500 0.2500 (multiplicity 8)  4 Ir 2.75, 4 Cu 2.75
Cu 0.0000 0.0000 0.0000 (multiplicity 4)  8 Cd 2.75
Ir 0.0000 0.0000 0.5000 (multiplicity 4)  8 Cd 2.75

Computed properties:
D(E_F) = 1.5 states/eV/f.u.
M_tot = 0.00 μB/f.u.
energy of formation = 0.170 eV/atom



Entry 2:
# Cd2CuIr

A relaxed structure of Cd2CuIr (GGA-PBEsol, Alexandria).

Unit cell a=9.9886 b=2.9635 c=4.6672 alpha=90.00 beta=111.64 gamma=90.00
Closest atoms and distances in Å follow each position.
Space group Cm (No. 8)
Asymmetric unit:
Cd 0.0000 0.0000 0.0000 (multiplicity 2)  4 Ir 2.77-2.80, 3 Cu 2.77-2.84, 5 Cd 2.96-3.05
Cd 0.2216 0.0000 0.6421 (multiplicity 2)  4 Cu 2.75-2.80, 3 Ir 2.80-2.82, 5 Cd 2.96-3.05
Cu 0.2518 0.5000 0.1593 (multiplicity 2)  2 Ir 2.58, 7 Cd 2.75-2.84
Ir 0.4659 0.0000 0.4773 (multiplicity 2)  2 Cu 2.58, 7 Cd 2.77-2.82

Computed properties:
D(E_F) = 2.5 states/eV/f.u.
M_tot = 0.00 μB/f.u.
energy of formation = 0.131 eV/atom



Entry 3:
# Cd2CuIr

A relaxed structure of Cd2CuIr (GGA-PBEsol, Alexandria).

Unit cell a=2.8626 b=2.8626 c=26.7636 alpha=90.00 beta=90.00 gamma=120.00
Closest atoms and distances in Å follow each position.
Space group R-3m (No. 166, hexagonal axes)
Asymmetric unit:
Cd 0.0000 0.0000 0.2478 (multiplicity 6)  3 Cu 2.73, 3 Ir 2.82, 6 Cd 2.86
Cu 0.0000 0.0000 0.5000 (multiplicity 3)  6 Cd 2.73, 6 Cu 2.86
Ir 0.0000 0.0000 0.0000 (multiplicity 3)  6 Cd 2.82, 6 Ir 2.86

Computed properties:
D(E_F) = 2.1 states/eV/f.u.
M_tot = 0.00 μB/f.u.
energy of formation = 0.180 eV/atom



Entry 4:
# KCdCu2

A relaxed structure of KCdCu2 (GGA-PBEsol, Alexandria).

Unit cell a=2.8055 b=5.2260 c=10.5333 alpha=90.00 beta=90.00 gamma=90.00
Closest atoms and distances in Å follow each position.
Space group Imm2 (No. 44)
Asymmetric unit:
K 0.0000 0.0000 0.0000 (multiplicity 2)  2 K 2.81, 4 Cu 2.98
Cd 0.0000 0.5000 0.8003 (multiplicity 2)  2 Cu 2.76, 2 Cd 2.81
Cu 0.0000 0.0000 0.5262 (multiplicity 2)  2 Cu 2.41
Cu 0.0000 0.5000 0.2123 (multiplicity 2)  2 Cu 2.41

Computed properties:
D(E_F) = 1.3 states/eV/f.u.
M_tot = 0.00 μB/f.u.
energy of formation = 0.361 eV/atom



Entry 5:
# KCdCuTc2

A relaxed structure of KCdCuTc2 (GGA-PBEsol, Alexandria).

Unit cell a=4.6559 b=4.6559 c=5.2212 alpha=90.00 beta=90.00 gamma=90.00
Closest atoms and distances in Å follow each position.
Space group P4/mmm (No. 123)
Asymmetric unit:
K 0.0000 0.0000 0.0000 (multiplicity 1)  2 Cu 2.61
Cd 0.5000 0.5000 0.0000 (multiplicity 1)  4 K 3.29, 8 Tc 3.50
Cu 0.0000 0.0000 0.5000 (multiplicity 1)  4 Tc 2.33
Tc 0.0000 0.5000 0.5000 (multiplicity 2)  2 Cu 2.33

Computed properties:
D(E_F) = 5.4 states/eV/f.u.
M_tot = 5.16 μB/f.u.
energy of formation = 1.722 eV/atom



Entry 6:
# La2Cd2Cu

A relaxed structure of La2Cd2Cu (GGA-PBEsol, Alexandria).

Unit cell a=6.1654 b=6.1654 c=7.5843 alpha=90.00 beta=90.00 gamma=90.00
Closest atoms and distances in Å follow each position.
Space group I4/mmm (No. 139)
Asymmetric unit:
La 0.0000 0.5000 0.2500 (multiplicity 4)  4 Cd 3.14
Cd 0.0000 0.0000 0.1683 (multiplicity 4)  1 Cu 2.52, 1 Cd 2.55
Cu 0.0000 0.0000 0.5000 (multiplicity 2)  2 Cd 2.52

Computed properties:
D(E_F) = 5.6 states/eV/f.u.
M_tot = 0.70 μB/f.u.
energy of formation = 0.220 eV/atom